{"formula": "Mg2Ga2Hg", "functional": "PBE-GGA", "state": "optimized geometry", "dos_ef_per_ev_fu": 1.41, "dft_energy_ev_per_atom": -2.030, "de_polymorph_ev_per_atom": 0.000, "m_tot_mub_per_atom": 0.00, "formation_enthalpy_0k_ev_per_atom": -0.1210, "lattice": [[4.136, 0.000, 0.000], [0.000, 14.905, 0.000], [0.000, 0.000, 3.278]], "species": ["Mg", "Mg", "Mg", "Mg", "Ga", "Ga", "Ga", "Ga", "Hg", "Hg"], "fractional_positions": [[0.000, 0.112, 0.000], [0.000, 0.888, 0.000], [0.500, 0.388, 0.000], [0.500, 0.612, 0.000], [0.000, 0.301, 0.500], [0.000, 0.699, 0.500], [0.500, 0.199, 0.500], [0.500, 0.801, 0.500], [0.000, 0.500, 0.500], [0.500, 0.000, 0.500]]}